[1]
The following is a DFT calculation (GGA-PBE) of a relaxed CaHoInBi crystal.

Geometry as extended XYZ:
```
4
Lattice="5.477 0.000 0.000 2.738 4.743 0.000 2.738 1.581 4.472" Properties=species:S:1:pos:R:3 pbc="T T T"
Ca 5.477 3.162 2.236
In 2.738 1.581 1.118
Bi 8.215 4.743 3.354
Ho 0.000 0.000 0.000
```

- Crystal system: cubic

[2]
The following is a DFT calculation (GGA-PBE) of a relaxed ErBIr2Rh crystal.

Geometry as extended XYZ:
```
5
Lattice="-0.116 3.907 -1.614 -3.120 0.992 2.626 2.805 1.263 2.855" Properties=species:S:1:pos:R:3 pbc="T T T"
Er -0.216 3.081 1.933
B 0.000 0.000 0.000
Ir 1.403 0.632 1.427
Ir -1.560 0.496 1.313
Rh -0.058 1.953 -0.807
```

- Crystal system: tetragonal

[3]
The following is a DFT calculation (GGA-PBE) of a relaxed BaNp2TeO4 crystal.

Geometry as extended XYZ:
```
8
Lattice="3.959 0.000 0.000 0.000 3.959 0.000 0.000 0.000 9.754" Properties=species:S:1:pos:R:3 pbc="T T T"
Ba 0.000 0.000 0.000
Np 1.979 1.979 2.800
Np 1.979 1.979 6.955
Te 0.000 0.000 4.877
O 0.000 1.979 1.874
O 1.979 0.000 7.881
O 1.979 0.000 1.874
O 0.000 1.979 7.881
```

- Formation energy without anion corrections: -2.51 eV/atom
- Crystal system: tetragonal

[4]
The following is a DFT calculation (GGA-PBE) of a relaxed Dy4GaAg2 crystal.

Geometry as extended XYZ:
```
7
Lattice="-3.131 2.187 -3.349 -2.855 -2.876 -3.062 -7.971 -0.240 3.443" Properties=species:S:1:pos:R:3 pbc="T T T"
Ag -10.508 -0.697 -2.188
Ag -3.448 -0.232 -0.780
Ga 0.000 0.000 0.000
Dy -8.249 -0.693 -4.297
Dy -5.707 -0.236 1.329
Dy -4.801 -0.461 -3.517
Dy -9.155 -0.468 0.549
```

- Energy above the most stable polymorph in this dataset: 0 meV/atom
- Crystal system: trigonal

Number 1: calculated volume 116.2 Å³/cell, VASP energy -0.1382 hartree per atom. Number 2: calculated volume 74.5 Å³/cell, VASP energy -0.2939 hartree per atom. Number 3: calculated volume 152.9 Å³/cell, VASP energy -0.3255 hartree per atom. Number 4: calculated volume 182.7 Å³/cell, VASP energy -0.1515 hartree per atom.